First-principles (PBE-GGA) data for a relaxed structure of YHfPd2, as listed in the Alexandria database.

Cell and atoms, written as POSCAR:
```
YHfPd2
1.0
5.069 -1.498 -2.995
-1.183 5.152 2.995
-3.478 -0.194 4.978
Hf Y Pd
1 1 2
direct
0.000 0.500 0.500
0.000 0.000 0.000
0.000 0.262 0.262
0.000 0.738 0.738
```

DFT total energy   -26.44 eV per cell
V   21.3 Å³ per atom
Mass density   9.34 g/cm3
Distance to the lowest polymorph of the same formula   836 meV per atom
Energy relative to the elements   0.36 eV per formula unit
M_tot   0.00 μB/cell


First-principles (PBE-GGA) data for a relaxed structure of LiNb2As, as listed in the Alexandria database.

Cell and atoms, written as POSCAR:
```
LiNb2As
1.0
-0.604 -4.269 1.181
1.795 -1.546 3.790
-2.631 -1.008 3.470
Li Nb As
1 2 1
direct
0.000 0.000 0.000
0.250 0.250 0.250
0.750 0.750 0.750
0.500 0.500 0.500
```

DFT total energy   -26.47 eV per cell
V   15.8 Å³ per atom
Mass density   7.04 g/cm3
Distance to the lowest polymorph of the same formula   0 meV per atom
Energy relative to the elements   0.23 eV per formula unit
M_tot   0.00 μB/cell